Entry from the Alexandria database: an optimized crystal structure of NiS2Br2 (GGA-PBE).

Cell lengths 4.3355, 3.5724, 9.7102 Å; angles 79.52, 52.80, 89.97 degrees
Last column: nearest neighbours and their distance in Å.
Positions (direct):
1 Br 0.4499 0.1490 0.6985  1 Ni 2.37
2 Ni 0.2000 0.0000 0.0000  4 S 2.35, 2 Br 2.37
3 Br 0.9501 0.8508 0.3015  1 Ni 2.37
4 S 0.6342 0.5422 0.9145  1 S 2.03
5 S 0.7658 0.4579 0.0855  1 S 2.03

For the energy relative to the elements, uncorrected, the calculation gives -0.700 eV/f.u. The crystal system is triclinic. As for the spin magnetization: 0.000 μB per cell. The total energy is -3.6164 eV/atom. As for the density of states at the Fermi level: 2.50 states/eV per cell.